An optimized crystal structure of NaMn3Ru, computed with GGA-PBE.

Lattice parameters (Å, degrees): 4.8488 4.8488 4.8488 90.00 90.00 90.00
Space group Pm-3m (No. 221)
Symmetry-distinct sites (fractional):
Na1 0.0000 0.0000 0.0000 (multiplicity 1)
Mn1 0.0000 0.5000 0.5000 (multiplicity 3)
Ru1 0.5000 0.5000 0.5000 (multiplicity 1)

For the total DFT energy (no corrections), the calculation gives -6.69 eV per atom. For the formation energy from the elements, the calculation gives 931 meV/atom. The spin magnetization comes out at 12.56 μB/f.u. The calculation puts the density of states at the Fermi level at 1.076 states/eV per atom. For the density, the calculation gives 4.21 Mg/m³. For the energy above the most stable polymorph in this dataset, the calculation gives 0 meV per atom.